Sr2ZnPbCl8, relaxed, DFT PBE; uncorrected formation energy = -1.749 eV per atom
1.0
6.6098 -0.0104 -0.0041
0.0142 6.4186 -0.0074
0.0054 0.0096 8.5646
Sr Zn Cl Pb
2 1 8 1
Direct
0.5000 0.5000 0.2360
0.5000 0.5000 0.7640
0.0000 0.0000 0.0000
0.6572 0.7268 0.5000
0.8432 0.2086 0.2170
0.3428 0.2732 0.5000
0.6961 0.7502 0.0000
0.8432 0.2086 0.7830
0.3039 0.2498 0.0000
0.1568 0.7914 0.7830
0.1568 0.7914 0.2170
0.0000 0.0000 0.5000

=====

Sn4Sb2Pd, relaxed, DFT PBE; distance to the lowest polymorph of the same formula = 150 meV/atom; uncorrected formation energy = 0.090 eV per atom
1.0
5.1129 0.0000 0.0000
0.0000 5.1129 0.0000
2.5564 2.5564 8.0419
Pd Sn Sb
1 4 2
Direct
0.0000 0.0000 0.0000
0.5000 0.0000 0.0000
0.0000 0.5000 0.0000
0.1732 0.1732 0.6535
0.8268 0.8268 0.3465
0.6398 0.6398 0.7205
0.3602 0.3602 0.2795

=====

Ca3Ga2Ir, relaxed, DFT PBE; energy relative to the elements = -0.487 eV per atom
1.0
4.3388 0.0000 0.0000
0.0000 12.1003 0.0000
0.0000 0.0000 11.9280
Ca Ga Ir
12 8 4
Direct
0.7500 0.2090 0.2838
0.7500 0.9504 0.1133
0.7500 0.8797 0.4412
0.2500 0.4504 0.3867
0.2500 0.7090 0.2162
0.2500 0.0496 0.8867
0.7500 0.5496 0.6133
0.7500 0.6203 0.9412
0.2500 0.7910 0.7162
0.2500 0.3797 0.0588
0.2500 0.1203 0.5588
0.7500 0.2910 0.7838
0.7500 0.9850 0.7042
0.2500 0.8096 0.9702
0.2500 0.6904 0.4702
0.2500 0.0150 0.2958
0.7500 0.1904 0.0298
0.7500 0.5150 0.2042
0.2500 0.4850 0.7958
0.7500 0.3096 0.5298
0.7500 0.6370 0.3761
0.7500 0.8630 0.8761
0.2500 0.3630 0.6239
0.2500 0.1370 0.1239

=====

Ca2Ge2O7, relaxed, DFT PBE; uncorrected formation energy = -1.892 eV per atom
1.0
6.1843 0.0000 3.5705
2.0614 5.8306 3.5705
0.0000 0.0000 7.1410
O Ca Ge
14 4 4
Direct
0.4475 0.0525 0.0525
0.1975 0.8025 0.8025
0.0525 0.4475 0.0525
0.0525 0.4475 0.4475
0.8025 0.1975 0.8025
0.7500 0.7500 0.7500
0.0525 0.0525 0.4475
0.1975 0.1975 0.8025
0.8025 0.8025 0.1975
0.8025 0.1975 0.1975
0.4475 0.0525 0.4475
0.1975 0.8025 0.1975
0.5000 0.5000 0.5000
0.4475 0.4475 0.0525
0.6250 0.6250 0.6250
0.6250 0.1250 0.6250
0.6250 0.6250 0.1250
0.1250 0.6250 0.6250
0.1250 0.1250 0.6250
0.1250 0.6250 0.1250
0.6250 0.1250 0.1250
0.1250 0.1250 0.1250

=====

Pm4Sn2Sb, relaxed, DFT PBE; uncorrected formation energy = -0.856 eV per atom
1.0
8.1561 -1.1054 -0.1724
-1.6901 8.0553 0.1713
-3.1064 -3.5916 6.7223
Sn Pm Sb
4 8 2
Direct
0.4996 0.3750 0.6246
0.1250 0.5004 0.8754
0.6250 0.2496 0.1246
0.7505 0.8750 0.3754
0.8741 0.6254 0.6089
0.5152 0.7665 0.8911
0.8754 0.6241 0.1089
0.3746 0.9834 0.2486
0.3760 0.4848 0.2514
0.0165 0.2652 0.3911
0.2334 0.1246 0.7486
0.7348 0.1260 0.7514
0.9999 0.9999 0.0000
0.2499 0.7499 0.5000

=====

Sm6Ga3Sn, relaxed, DFT PBE; energy relative to the elements = -0.399 eV per atom
1.0
-2.7612 3.6350 -5.5339
-7.8288 -4.7059 0.8152
-0.4046 7.5635 5.1701
Sm Ga Sn
12 6 2
Direct
0.2445 0.1153 0.4990
0.7445 0.4990 0.1153
0.7445 0.8847 0.5010
0.6019 0.2373 0.3172
0.7512 0.0359 0.9641
0.2377 0.6973 0.3027
0.1019 0.3172 0.2373
0.2512 0.9641 0.0359
0.1019 0.7627 0.6828
0.6019 0.6828 0.7627
0.2445 0.5010 0.8847
0.7377 0.3027 0.6973
0.4413 0.2674 0.9987
0.8381 0.5361 0.4639
0.4413 0.0013 0.7326
0.3381 0.4639 0.5361
0.9413 0.9987 0.2674
0.9413 0.7326 0.0013
0.5830 0.8353 0.1647
0.0830 0.1647 0.8353

=====

CeBr3N, relaxed, DFT PBE; uncorrected formation energy = -0.391 eV per atom
1.0
5.6543 1.2569 -0.6145
3.7985 9.8316 -0.1783
-0.9194 -0.7506 7.9495
N Br Ce
2 6 2
Direct
0.5608 0.3930 0.9534
0.8065 0.9072 0.1007
0.4231 0.3987 0.4894
0.2446 0.1676 0.7754
0.7735 0.6400 0.7755
0.1226 0.1321 0.2791
0.5943 0.6597 0.2790
0.9459 0.9012 0.5653
0.4404 0.9001 0.5440
0.9290 0.3996 0.5105

=====

Cs2NaTiF6, relaxed, DFT PBE; uncorrected formation energy = -3.056 eV per atom
1.0
-2.4057 5.8229 1.0008
-3.6559 -4.5679 -2.5424
-4.4758 -4.2757 14.1182
F Cs Na Ti
18 6 3 3
Direct
0.1821 0.3642 0.9116
0.1512 0.8488 0.5724
0.8179 0.6358 0.0884
0.4766 0.5234 0.7599
0.3642 0.1821 0.0884
0.1512 0.3023 0.5724
0.0467 0.5234 0.7599
0.3023 0.1512 0.4276
0.6358 0.8179 0.9116
0.6977 0.8488 0.5724
0.4766 0.9533 0.7599
0.1821 0.8179 0.9116
0.8488 0.6977 0.4276
0.9533 0.4766 0.2401
0.5234 0.4766 0.2401
0.8179 0.1821 0.0884
0.8488 0.1512 0.4276
0.5234 0.0467 0.2401
0.3333 0.6667 0.0890
0.3333 0.6667 0.3965
0.0000 0.0000 0.7509
0.0000 0.0000 0.2491
0.6667 0.3333 0.6035
0.6667 0.3333 0.9110
0.3333 0.6667 0.6430
0.0000 0.0000 0.0000
0.6667 0.3333 0.3570
0.0000 0.0000 0.5000
0.6667 0.3333 0.1602
0.3333 0.6667 0.8398

=====

ZrFeAu2, relaxed, DFT PBE; energy relative to the elements = 0.060 eV per atom
1.0
-5.5305 1.3886 7.3261
-7.1871 -0.6538 5.8399
-4.9719 -1.5584 7.6837
Au Fe Zr
2 1 1
Direct
0.9932 0.9932 0.9932
0.5068 0.5068 0.5068
0.2500 0.2500 0.2500
0.7500 0.7500 0.7500

=====

La3Mo, relaxed, DFT PBE; energy relative to the elements = 0.410 eV per atom; distance to the lowest polymorph of the same formula = 202 meV/atom
1.0
-2.6858 0.7773 2.3208
2.0743 -10.0035 2.9065
0.7326 1.7176 3.1173
La Mo
3 1
Direct
0.2500 0.7500 0.2500
0.0159 0.0477 0.0159
0.4841 0.4523 0.4841
0.7500 0.2500 0.7500

=====

AcCe3Zn8, relaxed, DFT PBE; energy relative to the elements = -0.242 eV per atom
1.0
5.7347 0.0000 0.0000
-2.8674 4.9664 0.0000
0.0000 0.0000 8.6446
Ce Zn Ac
3 8 1
Direct
0.6667 0.3333 0.4100
0.6667 0.3333 0.0802
0.0000 0.0000 0.9483
0.1729 0.3458 0.2455
0.3333 0.6667 0.5030
0.9915 0.4957 0.7553
0.3333 0.6667 0.9937
0.5043 0.0085 0.7553
0.5043 0.4957 0.7553
0.6542 0.8271 0.2455
0.1729 0.8271 0.2455
0.0000 0.0000 0.5625

=====

TaTi2Pt3, relaxed, DFT PBE; energy relative to the elements = -0.822 eV per atom
1.0
0.7954 -0.2424 -3.8997
-1.0928 -7.0275 2.2521
-6.5933 3.4571 0.4785
Ta Pt Ti
2 6 4
Direct
0.2500 0.4181 0.5819
0.7500 0.5819 0.4181
0.4948 0.1609 0.3286
0.5000 0.5000 0.0000
0.5052 0.8391 0.6714
0.0000 0.0000 0.5000
0.0052 0.6714 0.8391
0.9948 0.3286 0.1609
0.7500 0.2524 0.7476
0.2500 0.7476 0.2524
0.7500 0.9157 0.0843
0.2500 0.0843 0.9157